Density functional theory data (GGA-PBE) for an optimized crystal structure of Er3Al7Pd2.

Values from the calculation:
- DOS at the Fermi energy: 5.3 states/eV/cell
- Formation enthalpy at 0 K: -686.3 meV/atom
- Final energy: -4.88 eV/atom
- Size of the total moment: 0.00 μB/atom

Geometry as POSCAR:
```
Er3Al7Pd2
1.0
5.485 0.000 0.000
2.743 4.750 0.000
2.743 1.583 8.633
Er Al Pd
3 7 2
direct
0.000 0.000 0.000
0.856 0.856 0.432
0.144 0.144 0.568
0.500 0.500 0.500
0.927 0.417 0.240
0.417 0.927 0.240
0.417 0.417 0.240
0.073 0.583 0.760
0.583 0.583 0.760
0.583 0.073 0.760
0.664 0.664 0.007
0.336 0.336 0.993
```